No. 1
DFT (PBE) results for a relaxed Zr2TiNiN crystal.

a = 4.4450 Å, b = 4.4450 Å, c = 4.0218 Å
α = 90.00°, β = 90.00°, γ = 90.00°
Atoms (fractional coordinates):
Zr (0.0000, 0.5000, 0.0000)
Zr (0.5000, 0.0000, 0.0000)
Ti (0.0000, 0.0000, 0.5000)
Ni (0.5000, 0.5000, 0.5000)
N (0.0000, 0.0000, 0.0000)

Values from the calculation:
Symmetry: P4/mmm

=====

No. 2
DFT (PBE) results for a relaxed Zr2TiNiN crystal.

a = 3.4594 Å, b = 3.4594 Å, c = 12.5922 Å
α = 90.00°, β = 90.00°, γ = 90.00°
Atoms (fractional coordinates):
Zr (0.2500, 0.2500, 0.0859)
Zr (0.2500, 0.2500, 0.7346)
Zr (0.7500, 0.7500, 0.2654)
Zr (0.7500, 0.7500, 0.9141)
Ti (0.2500, 0.7500, 0.5000)
Ti (0.7500, 0.2500, 0.5000)
Ni (0.2500, 0.2500, 0.3353)
Ni (0.7500, 0.7500, 0.6647)
N (0.2500, 0.2500, 0.9104)
N (0.7500, 0.7500, 0.0896)

Values from the calculation:
Symmetry: P4/nmm

=====

No. 3
DFT (PBE) results for a relaxed TlNiN2 crystal.

a = 6.5303 Å, b = 6.5303 Å, c = 6.5303 Å
α = 27.09°, β = 27.09°, γ = 27.09°
Atoms (fractional coordinates):
Tl (0.0000, 0.0000, 0.0000)
Ni (0.5000, 0.5000, 0.5000)
N (0.1213, 0.1213, 0.1213)
N (0.8787, 0.8787, 0.8787)

Values from the calculation:
Symmetry: R-3m

=====

No. 4
DFT (PBE) results for a relaxed TlNi2N crystal.

a = 6.4114 Å, b = 6.4114 Å, c = 6.4114 Å
α = 135.60°, β = 135.60°, γ = 64.59°
Atoms (fractional coordinates):
Tl (0.3750, 0.6250, 0.7500)
Tl (0.6250, 0.3750, 0.2500)
Ni (0.0000, 0.0000, 0.0000)
Ni (0.0000, 0.0000, 0.5000)
Ni (0.0000, 0.5000, 0.0000)
Ni (0.5000, 0.0000, 0.5000)
N (0.1250, 0.8750, 0.2500)
N (0.8750, 0.1250, 0.7500)

Values from the calculation:
Symmetry: I4_1/amd

=====

Let's list VASP energy in order: -42.9, -85.6, -21.3, -43.1 eV/cell.
Let's list calculated density in order: 6.33, 6.68, 9.49, 8.77 g cm⁻³.
Let's list energy relative to the elements, uncorrected in order: -0.768, -0.745, 0.868, 0.180 eV/atom.